! IrRuRh (PBE, optimized geometry); values from VASP
&SYSTEM
  ibrav = 0, nat = 6, ntyp = 3
/
ATOMIC_SPECIES
Ir 192.22 Ir.upf
Ru 101.07 Ru.upf
Rh 102.91 Rh.upf
CELL_PARAMETERS angstrom
1.8850 1.0883 8.0805
-1.8850 1.0883 8.0805
0.0000 -2.1766 8.0805
ATOMIC_POSITIONS crystal
Ir 0.0835 0.0835 0.0835
Ir 0.9165 0.9165 0.9165
Ru 0.3589 0.3589 0.3589
Ru 0.6411 0.6411 0.6411
Rh 0.1961 0.1961 0.1961
Rh 0.8039 0.8039 0.8039
! * symmetry: R-3m, No. 166
! * formation energy from the elements: 839 meV/atom
! * total magnetization: 0.00 μB/f.u.
! * polymorph energy (0 for the lowest one): 856 meV per atom
! * raw total energy: -7.66 eV/atom
! * theoretical density: 13.23 g/cm³


! Al7Ga2W2 (PBE, optimized geometry); values from VASP
&SYSTEM
  ibrav = 0, nat = 11, ntyp = 3
/
ATOMIC_SPECIES
Al 26.98 Al.upf
Ga 69.72 Ga.upf
W 183.84 W.upf
CELL_PARAMETERS angstrom
3.5543 -4.1028 0.0000
3.5543 4.1028 0.0000
-2.2916 0.0000 6.1684
ATOMIC_POSITIONS crystal
Al 0.0000 0.0000 0.0000
Al 0.1138 0.5042 0.8409
Al 0.2091 0.2091 0.4847
Al 0.4958 0.8862 0.1591
Al 0.5042 0.1138 0.8409
Al 0.7909 0.7909 0.5153
Al 0.8862 0.4958 0.1591
Ga 0.2636 0.7364 0.5000
Ga 0.7364 0.2636 0.5000
W 0.3890 0.3890 0.1971
W 0.6110 0.6110 0.8029
! * symmetry: C2/m, No. 12
! * formation energy from the elements: -60 meV/atom
! * total magnetization: 0.00 μB/f.u.
! * raw total energy: -5.35 eV/atom
! * theoretical density: 6.42 g/cm³


! SrCuSi (PBE, optimized geometry); values from VASP
&SYSTEM
  ibrav = 0, nat = 3, ntyp = 3
/
ATOMIC_SPECIES
Sr 87.62 Sr.upf
Cu 63.55 Cu.upf
Si 28.09 Si.upf
CELL_PARAMETERS angstrom
0.0000 2.5837 5.5200
2.2980 0.0000 5.5200
2.2980 2.5837 0.0000
ATOMIC_POSITIONS crystal
Sr 0.0000 0.0000 0.0000
Cu 0.7170 0.7170 0.2830
Si 0.2885 0.2885 0.7115
! * symmetry: Fmm2, No. 42
! * total magnetization: 0.27 μB/f.u.
! * raw total energy: -3.68 eV/atom
! * formation energy from raw total energies: 0.056 eV/atom
! * theoretical density: 4.54 g/cm³


! BaNa2Mg9 (PBE, optimized geometry); values from VASP
&SYSTEM
  ibrav = 0, nat = 12, ntyp = 3
/
ATOMIC_SPECIES
Ba 137.33 Ba.upf
Na 22.99 Na.upf
Mg 24.30 Mg.upf
CELL_PARAMETERS angstrom
3.1167 1.7994 10.1802
-3.1167 1.7994 10.1802
0.0000 -3.5989 10.1802
ATOMIC_POSITIONS crystal
Ba 0.0000 0.0000 0.0000
Na 0.1443 0.1443 0.1443
Na 0.8557 0.8557 0.8557
Mg 0.0833 0.5848 0.5848
Mg 0.3333 0.3333 0.3333
Mg 0.4152 0.4152 0.9167
Mg 0.4152 0.9167 0.4152
Mg 0.5000 0.5000 0.5000
Mg 0.5848 0.0833 0.5848
Mg 0.5848 0.5848 0.0833
Mg 0.6667 0.6667 0.6667
Mg 0.9167 0.4152 0.4152
! * symmetry: R-3m, No. 166
! * formation energy from the elements: 12 meV/atom
! * total magnetization: 0.00 μB/f.u.
! * raw total energy: -1.56 eV/atom
! * theoretical density: 1.95 g/cm³


! Tb5YHoTm2 (PBE, optimized geometry); values from VASP
&SYSTEM
  ibrav = 0, nat = 18, ntyp = 4
/
ATOMIC_SPECIES
Tb 158.93 Tb.upf
Y 88.91 Y.upf
Ho 164.93 Ho.upf
Tm 168.93 Tm.upf
CELL_PARAMETERS angstrom
2.7891 -9.9570 0.0000
2.7891 9.9570 0.0000
0.0000 0.0000 10.5093
ATOMIC_POSITIONS crystal
Tb 0.0171 0.9829 0.5000
Tb 0.2801 0.7199 0.7880
Tb 0.2997 0.7003 0.1862
Tb 0.3887 0.6113 0.5015
Tb 0.4792 0.5208 0.2177
Tb 0.5208 0.4792 0.7177
Tb 0.6113 0.3887 0.0015
Tb 0.7003 0.2997 0.6862
Tb 0.7199 0.2801 0.2880
Tb 0.9829 0.0171 0.0000
Y 0.4116 0.5884 0.9333
Y 0.5884 0.4116 0.4333
Ho 0.1991 0.8009 0.4896
Ho 0.8009 0.1991 0.9896
Tm 0.1107 0.8893 0.2157
Tm 0.1136 0.8864 0.7932
Tm 0.8864 0.1136 0.2932
Tm 0.8893 0.1107 0.7157
! * symmetry: Cmc2_1, No. 36
! * formation energy from the elements: 162 meV/atom
! * total magnetization: 0.00 μB/f.u.
! * raw total energy: -4.63 eV/atom
! * theoretical density: 7.89 g/cm³


! Na3InRu (PBE, optimized geometry); values from VASP
&SYSTEM
  ibrav = 0, nat = 5, ntyp = 3
/
ATOMIC_SPECIES
Na 22.99 Na.upf
In 114.82 In.upf
Ru 101.07 Ru.upf
CELL_PARAMETERS angstrom
5.4299 0.0000 0.0000
0.0000 5.4299 0.0000
0.0000 0.0000 5.4299
ATOMIC_POSITIONS crystal
Na 0.0000 0.0000 0.5000
Na 0.0000 0.5000 0.0000
Na 0.5000 0.0000 0.0000
In 0.5000 0.5000 0.5000
Ru 0.0000 0.0000 0.0000
! * symmetry: Pm-3m, No. 221
! * formation energy from the elements: 954 meV/atom
! * total magnetization: 1.14 μB/f.u.
! * polymorph energy (0 for the lowest one): 0 meV per atom
! * raw total energy: -2.24 eV/atom
! * theoretical density: 2.95 g/cm³


! PmPaSn4 (PBE, optimized geometry); values from VASP
&SYSTEM
  ibrav = 0, nat = 12, ntyp = 3
/
ATOMIC_SPECIES
Pm 145.00 Pm.upf
Pa 231.04 Pa.upf
Sn 118.71 Sn.upf
CELL_PARAMETERS angstrom
5.8847 0.0000 0.0000
0.0000 8.2593 0.0000
0.0000 0.0000 6.8820
ATOMIC_POSITIONS crystal
Pm 0.0000 0.0000 0.0000
Pm 0.5000 0.5000 0.0000
Pa 0.0000 0.0000 0.5000
Pa 0.5000 0.5000 0.5000
Sn 0.0886 0.3301 0.2533
Sn 0.0886 0.3301 0.7467
Sn 0.4114 0.8301 0.2533
Sn 0.4114 0.8301 0.7467
Sn 0.5886 0.1699 0.2533
Sn 0.5886 0.1699 0.7467
Sn 0.9114 0.6699 0.2533
Sn 0.9114 0.6699 0.7467
! * symmetry: Pbam, No. 55
! * formation energy from the elements: -222 meV/atom
! * total magnetization: 0.00 μB/f.u.
! * raw total energy: -5.26 eV/atom
! * theoretical density: 8.45 g/cm³


! KMg2Sb (PBE, optimized geometry); values from VASP
&SYSTEM
  ibrav = 0, nat = 4, ntyp = 3
/
ATOMIC_SPECIES
K 39.10 K.upf
Mg 24.30 Mg.upf
Sb 121.76 Sb.upf
CELL_PARAMETERS angstrom
4.8184 0.0000 0.0000
0.0000 4.8184 0.0000
0.0000 0.0000 4.8283
ATOMIC_POSITIONS crystal
K 0.0000 0.0000 0.0000
Mg 0.0000 0.5000 0.5000
Mg 0.5000 0.0000 0.5000
Sb 0.5000 0.5000 0.0000
! * symmetry: P4/mmm, No. 123
! * total magnetization: 0.00 μB/f.u.
! * raw total energy: -2.14 eV/atom
! * formation energy from raw total energies: -0.035 eV/atom
! * theoretical density: 3.10 g/cm³